# BaCo2AgF8, relaxed, DFT PBE+U
data_BaCo2AgF8
_chemical_formula_sum 'Ba1 Co2 Ag1 F8'
_space_group_name_H-M_alt 'P -1'
_space_group_IT_number 2
_cell_length_a 5.3347
_cell_length_b 5.4581
_cell_length_c 6.6009
_cell_angle_alpha 89.74
_cell_angle_beta 89.71
_cell_angle_gamma 89.36
loop_
_space_group_symop_operation_xyz
'x,y,z'
'-x,-y,-z'
loop_
_atom_site_label
_atom_site_type_symbol
_atom_site_fract_x
_atom_site_fract_y
_atom_site_fract_z
_atom_site_occupancy
Ba1 Ba 0.0000 0.0000 0.0000 1
Co1 Co 0.4997 0.4998 0.2597 1
Ag1 Ag 0.0000 0.0000 0.5000 1
F1 F 0.2559 0.7588 0.2620 1
F2 F 0.2570 0.7596 0.7380 1
F3 F 0.3219 0.3379 0.5016 1
F4 F 0.3297 0.3471 0.0009 1
# * mass density: 4.5 Mg/m³
# * E_tot: -4.76 eV/atom
# * volume: 16.0 Å³/atom